DFT (PBE-GGA) results for Na2NbS after structural relaxation.

Computed properties:
**Size of the total moment**: 6.04 μB/cell
**Formation energy (no corrections)**: 160.6 meV/atom

Cell: 7.4016 7.4016 7.4016 Å, 96.03 96.03 142.16°
Closest atoms and distances in Å follow each position.
Atoms (fractional coordinates):
1 Na 0.0022 0.6250 0.8772  2 S 2.84
2 Na 0.3750 0.2522 0.3772  2 S 2.84
3 Na 0.7478 0.1250 0.1228  2 S 2.84
4 Na 0.8750 0.9978 0.6228  2 S 2.84
5 Nb 0.2500 0.7500 0.5000  2 S 2.40
6 Nb 0.5000 0.5000 0.0000  2 S 2.40
7 S 0.0000 0.0000 0.0000  2 Nb 2.40
8 S 0.7500 0.2500 0.5000  2 Nb 2.40